# 1
Material: Ti5Ga12Pt2
Method: DFT, GGA-PBE
State: optimized geometry

```
Ti5Ga12Pt2
1.0
6.489 -3.468 0.000
6.489 3.468 0.000
-1.507 0.000 7.114
Ti Ga Pt
5 12 2
Cartesian
0.000 0.000 0.000
0.998 0.000 5.314
3.143 0.000 1.829
8.329 0.000 5.286
10.473 0.000 1.800
0.193 0.000 2.517
2.984 1.537 6.989
3.320 1.305 4.378
8.487 1.537 0.125
5.976 0.000 1.339
8.152 1.305 2.736
3.320 -1.305 4.378
5.495 0.000 5.776
2.984 -1.537 6.989
8.152 -1.305 2.736
8.487 -1.537 0.125
11.278 0.000 4.597
5.736 1.371 3.557
5.736 -1.371 3.557
```

Properties
SG = C2/m
Energy of formation = -257 meV/atom

---

# 2
Material: Cs2ZrPbSe4
Method: DFT, GGA-PBE
State: optimized geometry

```
Cs2ZrPbSe4
1.0
0.000 7.612 12.528
3.685 0.000 12.528
3.685 7.612 0.000
Cs Zr Pb Se
4 2 2 8
Cartesian
2.763 5.709 1.425
4.606 9.515 7.689
2.763 5.709 17.367
4.606 9.515 23.632
0.921 1.903 3.132
6.448 13.321 21.925
2.763 5.709 9.396
4.606 9.515 15.660
2.453 3.376 4.535
4.917 7.183 10.799
3.074 8.042 4.535
3.074 3.376 14.258
4.295 11.848 10.799
4.295 7.183 20.522
2.453 8.042 14.258
4.917 11.848 20.522
```

Properties
Energy relative to the elements, uncorrected = -867.5 kJ/mol of formula units
SG = Fddd